Entry 1:
First-principles (PBE) data for a relaxed ScGe2Te6 crystal, as listed in Alexandria via LeMat-Bulk.

Unit cell a=8.907 b=8.907 c=8.907 alpha=43.35 beta=43.35 gamma=43.35
Sites, in units of the cell vectors:
Sc  0.000  0.000  0.000
Ge  0.282  0.282  0.282
Ge  0.386  0.386  0.386
Te  0.036  0.422  0.802
Te  0.251  0.863  0.628
Te  0.422  0.802  0.036
Te  0.628  0.251  0.863
Te  0.802  0.036  0.422
Te  0.863  0.628  0.251

Total DFT energy (no corrections) in eV per cell: -36.4
E_form (uncorrected) in eV/atom: -0.22
SG: R3 (146)

Entry 2:
First-principles (PBE) data for a relaxed CuTe2IrI crystal, as listed in Alexandria via LeMat-Bulk.

Unit cell a=5.204 b=5.204 c=5.630 alpha=90.00 beta=90.00 gamma=90.00
Sites, in units of the cell vectors:
Cu  0.000  0.000  0.000
Te  0.000  0.500  0.500
Te  0.500  0.000  0.500
Ir  0.500  0.500  0.500
I  0.500  0.500  0.000

Total DFT energy (no corrections) in eV per cell: -16.9
E_form (uncorrected) in eV/atom: 0.78
ΔE to the lowest computed polymorph in meV per atom: 0
SG: P4/mmm (123)

Entry 3:
First-principles (PBE) data for a relaxed BaPr5In3 crystal, as listed in Alexandria via LeMat-Bulk.

Unit cell a=9.810 b=9.810 c=7.149 alpha=90.00 beta=90.00 gamma=120.00
Sites, in units of the cell vectors:
Ba  0.000  0.000  0.000
Ba  0.000  0.000  0.500
Pr  0.000  0.337  0.250
Pr  0.000  0.663  0.750
Pr  0.333  0.667  0.000
Pr  0.333  0.667  0.500
Pr  0.337  0.000  0.250
Pr  0.337  0.337  0.750
Pr  0.663  0.000  0.750
Pr  0.663  0.663  0.250
Pr  0.667  0.333  0.000
Pr  0.667  0.333  0.500
In  0.000  0.338  0.750
In  0.000  0.662  0.250
In  0.338  0.000  0.750
In  0.338  0.338  0.250
In  0.662  0.000  0.250
In  0.662  0.662  0.750

ΔH_f (0 K) in eV per atom: -0.30
Total DFT energy (no corrections) in eV per cell: -73.5
SG: P6_3/mcm (193)

Entry 4:
First-principles (PBE) data for a relaxed ScHgB2O6 crystal, as listed in Alexandria via LeMat-Bulk.

Unit cell a=6.330 b=6.330 c=6.301 alpha=99.86 beta=99.86 gamma=106.20
Sites, in units of the cell vectors:
Sc  0.074  0.926  0.750
Sc  0.926  0.074  0.250
Hg  0.393  0.607  0.250
Hg  0.607  0.393  0.750
B  0.090  0.408  0.749
B  0.408  0.090  0.249
B  0.592  0.910  0.751
B  0.910  0.592  0.251
O  0.009  0.424  0.247
O  0.010  0.200  0.600
O  0.200  0.010  0.100
O  0.283  0.432  0.903
O  0.424  0.009  0.747
O  0.432  0.283  0.403
O  0.568  0.717  0.597
O  0.576  0.991  0.253
O  0.717  0.568  0.097
O  0.800  0.990  0.900
O  0.990  0.800  0.400
O  0.991  0.576  0.753

Total DFT energy (no corrections) in eV per cell: -140.3
E_form (uncorrected) in eV/atom: -2.04
SG: C2/c (15)

Entry 5:
First-principles (PBE) data for a relaxed AlGa3N4 crystal, as listed in Alexandria via LeMat-Bulk.

Unit cell a=4.508 b=4.508 c=4.508 alpha=90.00 beta=90.00 gamma=90.00
Sites, in units of the cell vectors:
Al  0.000  0.000  0.000
Ga  0.000  0.500  0.500
Ga  0.500  0.000  0.500
Ga  0.500  0.500  0.000
N  0.244  0.244  0.244
N  0.244  0.756  0.756
N  0.756  0.244  0.756
N  0.756  0.756  0.244

Total DFT energy (no corrections) in eV per cell: -51.7
E_form (uncorrected) in eV/atom: -0.70
ΔE to the lowest computed polymorph in meV per atom: 6
SG: P-43m (215)

Entry 6:
First-principles (PBE) data for a relaxed YTc5P3 crystal, as listed in Alexandria via LeMat-Bulk.

Unit cell a=6.664 b=6.664 c=11.492 alpha=90.00 beta=90.00 gamma=145.29
Sites, in units of the cell vectors:
Y  0.175  0.825  0.750
Y  0.825  0.175  0.250
Tc  0.000  0.000  0.000
Tc  0.000  0.000  0.500
Tc  0.194  0.806  0.063
Tc  0.194  0.806  0.437
Tc  0.459  0.541  0.646
Tc  0.459  0.541  0.854
Tc  0.541  0.459  0.146
Tc  0.541  0.459  0.354
Tc  0.806  0.194  0.563
Tc  0.806  0.194  0.937
P  0.129  0.871  0.250
P  0.373  0.627  0.051
P  0.373  0.627  0.449
P  0.627  0.373  0.551
P  0.627  0.373  0.949
P  0.871  0.129  0.750

ΔH_f (0 K) in eV per atom: -0.44
Total DFT energy (no corrections) in eV per cell: -157.0
SG: Cmcm (63)

Entry 7:
First-principles (PBE) data for a relaxed TcBiSb2 crystal, as listed in Alexandria via LeMat-Bulk.

Unit cell a=3.284 b=3.284 c=8.941 alpha=90.00 beta=90.00 gamma=90.00
Sites, in units of the cell vectors:
Tc  0.000  0.000  0.000
Bi  0.000  0.000  0.500
Sb  0.500  0.500  0.182
Sb  0.500  0.500  0.818

Total DFT energy (no corrections) in eV per cell: -22.1
E_form (uncorrected) in eV/atom: 0.09
SG: P4/mmm (123)

Entry 8:
First-principles (PBE) data for a relaxed MgMn2Pt crystal, as listed in Alexandria via LeMat-Bulk.

Unit cell a=2.809 b=4.361 c=5.300 alpha=90.00 beta=103.12 gamma=90.00
Sites, in units of the cell vectors:
Mg  0.000  0.000  0.000
Mn  0.290  0.500  0.735
Mn  0.710  0.500  0.265
Pt  0.500  0.000  0.500

ΔH_f (0 K) in eV per atom: -0.05
Total DFT energy (no corrections) in eV per cell: -26.2
SG: P2/m (10)

Q: What is the formula in the sixth record?
A: YTc5P3

Q: Which of these has the lowest total DFT energy (no corrections)?
A: YTc5P3

Q: Number 1 is which compound?
A: ScGe2Te6